Material: Y2FeAgN
Method: DFT, PBE
State: optimized geometry

Cell lengths 5.0134, 5.0134, 4.5963 Å; angles 90.00, 90.00, 90.00 degrees
With the nearest neighbours (Å) after each atom.
Sites, in units of the cell vectors:
Y (0.0000, 0.5000, 0.0000)  2 Fe 2.51
Y (0.5000, 0.0000, 0.0000)  2 Fe 2.51
Fe (0.0000, 0.0000, 0.0000)  2 Ag 2.30, 4 Y 2.51
Ag (0.0000, 0.0000, 0.5000)  2 Fe 2.30
N (0.5000, 0.5000, 0.5000)  8 Y 3.40, 4 Ag 3.54

Values from the calculation:
Spin magnetization   1.39 μB per cell
Uncorrected formation energy   1.007 eV per atom
D(E_F)   6.04 states/eV/cell
SG   No. 123

Material: Y2FeAgN
Method: DFT, PBE
State: optimized geometry

Cell lengths 4.9772, 4.9772, 3.6178 Å; angles 90.00, 90.00, 90.00 degrees
With the nearest neighbours (Å) after each atom.
Sites, in units of the cell vectors:
Y (0.0000, 0.5000, 0.0000)  2 N 2.49
Y (0.5000, 0.0000, 0.0000)  2 N 2.49
Fe (0.0000, 0.0000, 0.5000)  2 N 1.81
Ag (0.5000, 0.5000, 0.5000)  8 Y 3.08
N (0.0000, 0.0000, 0.0000)  2 Fe 1.81

Values from the calculation:
Spin magnetization   0.13 μB per cell
Uncorrected formation energy   -0.691 eV per atom
D(E_F)   2.92 states/eV/cell
SG   No. 123

Material: Na3FeAg
Method: DFT, PBE
State: optimized geometry

Cell lengths 5.5077, 5.5077, 5.5077 Å; angles 90.00, 90.00, 90.00 degrees
With the nearest neighbours (Å) after each atom.
Sites, in units of the cell vectors:
Na (0.0000, 0.0000, 0.5000)  2 Ag 2.75
Na (0.0000, 0.5000, 0.0000)  2 Ag 2.75
Na (0.5000, 0.0000, 0.0000)  2 Ag 2.75
Fe (0.5000, 0.5000, 0.5000)  12 Na 3.89
Ag (0.0000, 0.0000, 0.0000)  6 Na 2.75

Values from the calculation:
Spin magnetization   3.11 μB per cell
Electronic total energy   -0.163 Ry/atom
D(E_F)   13.39 states/eV/cell
SG   No. 221

Material: Na2FeAg
Method: DFT, PBE
State: optimized geometry

Cell lengths 4.9551, 4.9551, 4.9551 Å; angles 60.00, 60.00, 60.00 degrees
With the nearest neighbours (Å) after each atom.
Sites, in units of the cell vectors:
Na (0.2500, 0.2500, 0.2500)  4 Fe 3.03, 4 Ag 3.03
Na (0.7500, 0.7500, 0.7500)  4 Fe 3.03, 4 Ag 3.03
Fe (0.0000, 0.0000, 0.0000)  8 Na 3.03
Ag (0.5000, 0.5000, 0.5000)  8 Na 3.03

Values from the calculation:
Spin magnetization   3.12 μB per cell
Electronic total energy   -0.207 Ry/atom
D(E_F)   1.89 states/eV/cell
SG   No. 225

Which of these has the highest spin magnetization?
Na2FeAg